# Ca4Re (GGA-PBE, relaxed)
# Formation enthalpy at 0 K = 0.58 eV per atom
data_Ca4Re
_space_group_name_H-M_alt 'P m -3 m'
_space_group_IT_number 221
_space_group_name_Hall '-P 4 2 3'
_cell_length_a 5.660
_cell_length_b 5.660
_cell_length_c 5.660
_cell_angle_alpha 90.00
_cell_angle_beta 90.00
_cell_angle_gamma 90.00
loop_
_atom_site_label
_atom_site_type_symbol
_atom_site_fract_x
_atom_site_fract_y
_atom_site_fract_z
Ca1 Ca 0.000 0.000 0.000
Ca2 Ca 0.000 0.500 0.500
Re1 Re 0.500 0.500 0.500